[1]
A geometry-optimized BeSiRu2 structure, computed with PBE-GGA.

symmetry: C2/m, No. 12
total moment: 0.0 μB/cell
polymorph energy (0 for the lowest one): 0.280 eV per atom
uncorrected formation energy: -1.11 eV/f.u.

abc: 4.0125 4.0125 4.8035
angles: 76.52 76.52 41.52
Fractional coordinates of all 4 atoms:
Ru1 0.9935 0.9935 0.0150
Ru2 0.5065 0.5065 0.4850
Si1 0.7500 0.7500 0.7500
Be1 0.2500 0.2500 0.2500

***

[2]
A geometry-optimized Rb3AuN structure, computed with PBE-GGA.

symmetry: Pm-3m, No. 221
total moment: 1.0 μB/cell
polymorph energy (0 for the lowest one): 0.000 eV per atom
uncorrected formation energy: 1.47 eV/f.u.

abc: 5.7358 5.7358 5.7358
angles: 90.00 90.00 90.00
Site moments in Bohr magnetons follow the coordinates.
Fractional coordinates of all 5 atoms:
Au1 0.5000 0.5000 0.5000  -0.01
Rb1 0.0000 0.5000 0.0000  0.01
Rb2 0.0000 0.0000 0.5000  0.02
Rb3 0.5000 0.0000 0.0000  -0.01
N1 0.0000 0.0000 0.0000  0.75

***

[3]
A geometry-optimized LaInSb structure, computed with PBE-GGA.

symmetry: P3m1, No. 156
total moment: 0.0 μB/cell
polymorph energy (0 for the lowest one): 0.019 eV per atom
uncorrected formation energy: -1.71 eV/f.u.

abc: 5.0375 5.0375 4.1431
angles: 90.00 90.00 120.00
Fractional coordinates of all 3 atoms:
In1 0.0000 0.0000 0.8886
La1 0.6667 0.3333 0.3234
Sb1 0.3333 0.6667 0.7880

***

[4]
A geometry-optimized P2RuSe structure, computed with PBE-GGA.

symmetry: Cm, No. 8
total moment: 0.0 μB/cell
uncorrected formation energy: -0.06 eV/f.u.

abc: 4.0559 4.0559 5.9768
angles: 73.61 73.61 52.20
Fractional coordinates of all 4 atoms:
P1 0.0624 0.0624 0.0756
P2 0.2141 0.2141 0.3147
Ru1 0.4918 0.4918 0.4243
Se1 0.7318 0.7318 0.6854

***

Please write out number 3 again, unchanged.
A geometry-optimized LaInSb structure, computed with PBE-GGA.

symmetry: P3m1, No. 156
total moment: 0.0 μB/cell
polymorph energy (0 for the lowest one): 0.019 eV per atom
uncorrected formation energy: -1.71 eV/f.u.

abc: 5.0375 5.0375 4.1431
angles: 90.00 90.00 120.00
Fractional coordinates of all 3 atoms:
In1 0.0000 0.0000 0.8886
La1 0.6667 0.3333 0.3234
Sb1 0.3333 0.6667 0.7880